{
  "formula": "CeCuSe2",
  "functional": "GGA-PBE",
  "state": "optimized geometry",
  "formation_energy_uncorrected_kcal_per_mol_atoms": -27.67,
  "dos_at_fermi_per_ev_cell": 27.7,
  "final_energy_ev_per_atom": -5.4497,
  "m_tot_mub_per_atom": 0.251,
  "spacegroup": "P2_1/c",
  "lattice": [[-3.289, 6.266, 2.551], [0.219, -2.425, 6.238], [6.486, 2.697, 1.738]],
  "species": ["Cu", "Cu", "Cu", "Cu", "Ce", "Ce", "Ce", "Ce", "Se", "Se", "Se", "Se", "Se", "Se", "Se", "Se"],
  "frac_coords": [[0.838, 0.938, 0.540], [0.662, 0.938, 0.040], [0.338, 0.062, 0.960], [0.162, 0.062, 0.460], [0.048, 0.691, 0.201], [0.548, 0.309, 0.299], [0.952, 0.309, 0.799], [0.452, 0.691, 0.701], [0.225, 0.413, 0.500], [0.112, 0.900, 0.783], [0.775, 0.587, 0.500], [0.612, 0.100, 0.717], [0.725, 0.587, 0.000], [0.888, 0.100, 0.217], [0.388, 0.900, 0.283], [0.275, 0.413, 0.000]]
}